First-principles (GGA-PBE) data for Ba2SrCd2Pb2 after structural relaxation, as listed in the Alexandria database.

```
Ba2SrCd2Pb2
1.0
5.261 0.000 0.000
2.631 4.556 0.000
2.631 1.519 10.261
Pb Ba Sr Cd
2 2 1 2
Cartesian
2.631 1.519 2.005
7.892 4.556 8.256
2.631 1.519 6.069
7.892 4.556 4.192
0.000 0.000 0.000
5.261 3.038 7.659
5.261 3.038 2.602
```

Results
D(E_F) = 1.5 states/eV/cell
DFT total energy = -2.46 eV per atom
Energy of formation = -0.345 eV/atom

=====

First-principles (GGA-PBE) data for Zr2ZnBi2 after structural relaxation, as listed in the Alexandria database.

```
Zr2ZnBi2
1.0
-4.808 -1.798 -5.858
3.895 -6.645 -1.157
-2.469 -1.901 2.609
Zr Bi Zn
4 4 2
Cartesian
-2.538 -2.136 -3.957
0.672 -2.612 -1.267
-1.585 -5.830 -5.748
1.625 -6.307 -3.058
-3.952 -4.755 -4.039
-1.100 -7.739 -3.515
0.571 -5.589 -0.368
-2.282 -2.605 -0.892
-0.457 -4.221 -3.508
0.000 0.000 0.000
```

Results
D(E_F) = 8.6 states/eV/cell
DFT total energy = -5.41 eV per atom
Distance to the lowest polymorph of the same formula = 0.000 eV/f.u.
Energy of formation = -0.187 eV/atom

=====

First-principles (GGA-PBE) data for YHI2 after structural relaxation, as listed in the Alexandria database.

```
YHI2
1.0
-1.416 -3.106 -10.761
2.843 -10.591 2.683
-1.331 -7.297 -3.641
I H Y
4 2 2
Cartesian
-1.095 -5.599 -9.066
0.083 -11.429 -9.573
-0.930 -8.871 -6.200
-2.126 -8.605 -12.041
0.713 -6.849 -4.039
1.112 -12.368 -2.498
-1.017 -8.626 -9.220
0.000 0.000 0.000
```

Results
D(E_F) = 0.0 states/eV/cell
DFT total energy = -4.19 eV per atom

=====

First-principles (GGA-PBE) data for PuAg2Hg after structural relaxation, as listed in the Alexandria database.

```
PuAg2Hg
1.0
-3.959 -2.689 -1.410
1.863 -2.144 -1.142
-0.897 -4.261 10.645
Ag Pu Hg
4 2 2
Cartesian
-2.936 -7.026 8.406
-0.971 -3.581 5.143
-0.056 -2.068 -0.313
-2.022 -5.512 2.950
-2.962 -3.032 0.861
-0.030 -6.062 7.232
-2.945 -5.645 5.797
-0.047 -3.449 2.296
```

Results
D(E_F) = 17.7 states/eV/cell
DFT total energy = -5.14 eV per atom
Energy of formation = -0.057 eV/atom

=====

First-principles (GGA-PBE) data for SrNiRhI2 after structural relaxation, as listed in the Alexandria database.

```
SrNiRhI2
1.0
5.345 0.000 0.000
0.000 5.650 0.000
0.000 0.000 5.345
I Ni Rh Sr
2 1 1 1
Cartesian
2.673 0.000 0.000
0.000 0.000 2.673
2.673 2.825 2.673
0.000 0.000 0.000
0.000 2.825 0.000
```

Results
D(E_F) = 6.2 states/eV/cell
DFT total energy = -3.28 eV per atom
Raw formation energy = 307 meV/atom

=====

First-principles (GGA-PBE) data for Ce2Pa2Si4Os after structural relaxation, as listed in the Alexandria database.

```
Ce2Pa2Si4Os
1.0
6.323 0.324 0.468
-2.751 5.703 -0.468
-2.751 -2.442 5.175
Pa Si Os Ce
2 4 1 2
Cartesian
0.411 -0.244 3.998
0.411 3.829 1.177
-2.751 -0.463 3.804
1.736 0.950 1.371
-0.914 2.636 3.804
-2.751 3.724 0.903
0.000 0.000 0.000
-3.723 2.207 3.185
-1.778 1.054 1.521
```

Results
D(E_F) = 15.3 states/eV/cell
DFT total energy = -7.25 eV per atom
Raw formation energy = -162 meV/atom

=====

First-principles (GGA-PBE) data for CdSiN2 after structural relaxation, as listed in the Alexandria database.

```
CdSiN2
1.0
5.303 0.000 0.000
0.000 5.433 0.000
0.000 0.000 6.768
Cd N Si
4 8 4
Cartesian
5.286 3.132 5.927
5.286 0.415 4.225
2.634 5.018 2.543
2.634 2.301 0.841
1.727 0.203 0.539
2.248 0.682 4.535
4.378 5.230 6.229
4.899 2.035 1.151
2.248 3.398 5.617
4.378 2.514 3.923
4.899 4.752 2.233
1.727 2.920 2.845
2.649 5.095 5.923
5.301 0.339 0.845
2.649 2.378 4.229
5.301 3.055 2.539
```

Results
D(E_F) = 0.0 states/eV/cell
DFT total energy = -6.30 eV per atom
Raw formation energy = -552 meV/atom

=====

First-principles (GGA-PBE) data for NaPtC2 after structural relaxation, as listed in the Alexandria database.

```
NaPtC2
1.0
-2.804 -2.705 0.048
-0.745 -1.975 3.275
-3.304 0.653 1.960
C Pt Na
2 1 1
Cartesian
-5.140 -3.020 3.963
-1.713 -1.007 1.321
-3.427 -2.014 2.642
0.000 0.000 0.000
```

Results
D(E_F) = 1.7 states/eV/cell
DFT total energy = -4.78 eV per atom
Distance to the lowest polymorph of the same formula = 1.950 eV/f.u.
Energy of formation = 1.673 eV/atom

=====

First-principles (GGA-PBE) data for NpCdBi2 after structural relaxation, as listed in the Alexandria database.

```
NpCdBi2
1.0
4.758 0.000 0.000
2.379 4.120 0.000
2.379 1.373 8.832
Np Cd Bi
1 1 2
Cartesian
4.758 2.747 4.416
0.000 0.000 0.000
2.379 1.373 6.013
7.136 4.120 2.819
```

Results
D(E_F) = 11.0 states/eV/cell
DFT total energy = -5.00 eV per atom
Distance to the lowest polymorph of the same formula = 1.700 eV/f.u.
Energy of formation = 0.409 eV/atom

=====

First-principles (GGA-PBE) data for Er6SnTe2Se3 after structural relaxation, as listed in the Alexandria database.

```
Er6SnTe2Se3
1.0
-4.692 -4.918 2.507
7.108 -0.928 1.051
-1.232 5.379 4.765
Er Sn Se Te
6 1 3 2
Cartesian
-0.985 -1.109 6.365
2.170 0.642 1.958
-0.341 2.564 4.266
2.813 0.176 5.896
-1.629 -0.642 2.426
1.525 -3.031 4.057
0.000 0.000 0.000
4.468 1.077 3.683
-3.284 -1.544 4.639
0.592 -0.233 4.161
-0.748 -3.585 2.020
3.164 -2.262 1.538
```

Results
D(E_F) = 5.6 states/eV/cell
DFT total energy = -5.40 eV per atom
Raw formation energy = -1395 meV/atom

=====

First-principles (GGA-PBE) data for Zn2TePt after structural relaxation, as listed in the Alexandria database.

```
Zn2TePt
1.0
5.860 0.177 0.114
4.217 4.074 0.114
4.217 1.779 3.667
Zn Te Pt
2 1 1
Cartesian
2.696 1.137 0.735
13.890 5.859 3.785
10.765 4.541 2.934
8.383 3.536 2.285
```

Results
D(E_F) = 1.7 states/eV/cell
DFT total energy = -3.12 eV per atom
Raw formation energy = -190 meV/atom

=====

First-principles (GGA-PBE) data for MnZn4Au5 after structural relaxation, as listed in the Alexandria database.

```
MnZn4Au5
1.0
-1.203 -2.015 2.194
2.920 -1.267 0.438
2.901 10.609 11.336
Zn Au Mn
4 5 1
Cartesian
2.321 8.489 9.071
1.162 4.250 4.541
1.739 6.359 6.795
0.580 2.120 2.265
2.886 5.775 9.240
2.309 3.664 6.984
3.464 7.890 11.500
1.153 -0.563 2.468
1.731 1.552 4.728
0.000 0.000 0.000
```

Results
D(E_F) = 3.0 states/eV/cell
DFT total energy = -3.24 eV per atom
Energy of formation = -0.175 eV/atom